1.
## CaLa3Si8 (meta-GGA SCAN)

Data for a PBEsol-optimized structure of CaLa3Si8.

Summary:
**DFT total energy**: -18.86 eV per atom
**Energy relative to the elements, uncorrected**: -599 meV/atom
**Space-group type**: No. 115

Unit cell a=4.316 b=4.316 c=13.466 alpha=90.00 beta=90.00 gamma=90.00
Fractional coordinates of all 12 atoms:
1 Ca 0.500 0.500 0.000
2 La 0.000 0.000 0.500
3 La 0.500 0.000 0.752
4 La 0.000 0.500 0.248
5 Si 0.000 0.500 0.837
6 Si 0.000 0.000 0.086
7 Si 0.500 0.000 0.335
8 Si 0.500 0.500 0.586
9 Si 0.000 0.500 0.665
10 Si 0.500 0.000 0.163
11 Si 0.000 0.000 0.914
12 Si 0.500 0.500 0.414

***

2.
## Er2PbS4 (meta-GGA SCAN)

Data for a PBEsol-optimized structure of Er2PbS4.

Summary:
**DFT total energy**: -32.55 eV per atom
**Energy relative to the elements, uncorrected**: -1844 meV/atom
**Space-group type**: No. 62
**Energy above the most stable polymorph in this dataset**: 3.7 meV/atom

Unit cell a=3.896 b=11.786 c=14.097 alpha=90.00 beta=90.00 gamma=90.00
Fractional coordinates of all 28 atoms:
1 Er 0.250 0.417 0.099
2 Er 0.750 0.563 0.389
3 Er 0.750 0.083 0.599
4 Er 0.750 0.583 0.901
5 Er 0.250 0.437 0.611
6 Er 0.750 0.063 0.111
7 Er 0.250 0.917 0.401
8 Er 0.250 0.937 0.889
9 S 0.750 0.294 0.671
10 S 0.250 0.524 0.785
11 S 0.250 0.024 0.715
12 S 0.750 0.588 0.577
13 S 0.250 0.912 0.077
14 S 0.250 0.706 0.329
15 S 0.250 0.629 0.029
16 S 0.250 0.129 0.471
17 S 0.750 0.476 0.215
18 S 0.750 0.871 0.529
19 S 0.750 0.371 0.971
20 S 0.250 0.412 0.423
21 S 0.750 0.794 0.829
22 S 0.250 0.206 0.171
23 S 0.750 0.088 0.923
24 S 0.750 0.976 0.285
25 Pb 0.250 0.763 0.665
26 Pb 0.750 0.737 0.165
27 Pb 0.750 0.237 0.335
28 Pb 0.250 0.263 0.835

***

3.
## Ta2NiSnTe (meta-GGA SCAN)

Data for a PBEsol-optimized structure of Ta2NiSnTe.

Summary:
**DFT total energy**: -43.70 eV per atom
**Energy relative to the elements, uncorrected**: 807 meV/atom
**Space-group type**: No. 123

Unit cell a=4.491 b=4.780 c=4.780 alpha=90.00 beta=90.00 gamma=90.00
Fractional coordinates of all 5 atoms:
1 Ni 0.000 0.000 0.000
2 Ta 0.000 0.500 0.000
3 Ta 0.000 0.000 0.500
4 Sn 0.500 0.000 0.000
5 Te 0.500 0.500 0.500

***

4.
## BaCdSe2 (meta-GGA SCAN)

Data for a PBEsol-optimized structure of BaCdSe2.

Summary:
**DFT total energy**: -28.79 eV per atom
**Energy relative to the elements, uncorrected**: -1258 meV/atom
**Space-group type**: No. 99

Unit cell a=4.302 b=4.302 c=6.655 alpha=90.00 beta=90.00 gamma=90.00
Fractional coordinates of all 4 atoms:
1 Se 0.500 0.500 0.310
2 Se 0.000 0.000 0.876
3 Ba 0.000 0.000 0.396
4 Cd 0.500 0.500 0.918

***

5.
## Rh2AuCl (meta-GGA SCAN)

Data for a PBEsol-optimized structure of Rh2AuCl.

Summary:
**DFT total energy**: -35.86 eV per atom
**Energy relative to the elements, uncorrected**: 313 meV/atom
**Space-group type**: No. 35
**Energy above the most stable polymorph in this dataset**: 4.8 meV/atom

Unit cell a=2.768 b=2.814 c=9.227 alpha=90.00 beta=90.00 gamma=119.47
Fractional coordinates of all 4 atoms:
1 Cl 0.500 0.000 0.785
2 Rh 0.500 0.000 0.229
3 Rh 0.000 0.000 0.997
4 Au 0.000 0.000 0.489

***

6.
## MoP2O8 (meta-GGA SCAN)

Data for a PBEsol-optimized structure of MoP2O8.

Summary:
**DFT total energy**: -11.81 eV per atom
**Energy relative to the elements, uncorrected**: -2215 meV/atom
**Space-group type**: No. 62
**Energy above the most stable polymorph in this dataset**: 0.0 meV/atom

Unit cell a=5.204 b=9.950 c=10.799 alpha=90.00 beta=90.00 gamma=90.00
Fractional coordinates of all 44 atoms:
1 O 0.750 0.546 0.902
2 O 0.985 0.716 0.781
3 O 0.250 0.201 0.079
4 O 0.485 0.784 0.219
5 O 0.250 0.046 0.598
6 O 0.750 0.012 0.219
7 O 0.750 0.988 0.719
8 O 0.511 0.558 0.578
9 O 0.011 0.942 0.422
10 O 0.250 0.954 0.098
11 O 0.750 0.701 0.421
12 O 0.511 0.442 0.078
13 O 0.485 0.216 0.719
14 O 0.750 0.799 0.974
15 O 0.250 0.512 0.281
16 O 0.989 0.442 0.078
17 O 0.250 0.701 0.026
18 O 0.989 0.558 0.578
19 O 0.015 0.784 0.219
20 O 0.750 0.454 0.402
21 O 0.515 0.716 0.781
22 O 0.250 0.299 0.526
23 O 0.489 0.942 0.422
24 O 0.011 0.058 0.922
25 O 0.515 0.284 0.281
26 O 0.250 0.488 0.781
27 O 0.250 0.799 0.579
28 O 0.750 0.201 0.474
29 O 0.985 0.284 0.281
30 O 0.015 0.216 0.719
31 O 0.750 0.299 0.921
32 O 0.489 0.058 0.922
33 P 0.250 0.075 0.004
34 P 0.250 0.204 0.629
35 P 0.750 0.704 0.871
36 P 0.250 0.796 0.129
37 P 0.250 0.925 0.504
38 P 0.750 0.296 0.371
39 P 0.750 0.575 0.496
40 P 0.750 0.425 0.996
41 Mo 0.750 0.125 0.806
42 Mo 0.750 0.875 0.306
43 Mo 0.250 0.375 0.194
44 Mo 0.250 0.625 0.694

***

7.
## NaAuSe2 (meta-GGA SCAN)

Data for a PBEsol-optimized structure of NaAuSe2.

Summary:
**DFT total energy**: -28.66 eV per atom
**Energy relative to the elements, uncorrected**: -277 meV/atom
**Space-group type**: No. 122

Unit cell a=5.549 b=5.549 c=8.207 alpha=109.76 beta=109.76 gamma=90.00
Fractional coordinates of all 8 atoms:
1 Na 0.750 0.250 0.500
2 Na 0.500 0.500 0.000
3 Se 0.306 0.875 0.250
4 Se 0.625 0.694 0.750
5 Se 0.125 0.056 0.750
6 Se 0.944 0.375 0.250
7 Au 0.250 0.750 0.500
8 Au 0.000 0.000 0.000

***

8.
## AlGaCu2Te (meta-GGA SCAN)

Data for a PBEsol-optimized structure of AlGaCu2Te.

Summary:
**DFT total energy**: -17.69 eV per atom
**Energy relative to the elements, uncorrected**: 661 meV/atom
**Space-group type**: No. 123

Unit cell a=4.460 b=4.460 c=5.578 alpha=90.00 beta=90.00 gamma=90.00
Fractional coordinates of all 5 atoms:
1 Cu 0.500 0.000 0.000
2 Cu 0.000 0.500 0.000
3 Ga 0.000 0.000 0.000
4 Al 0.500 0.500 0.500
5 Te 0.000 0.000 0.500